Compound: ReTcS2Cl
Source: the Alexandria database
Functional: GGA-PBE
Structure: relaxed

Summary:
VASP energy: -5.455 eV/atom
Energy relative to the elements, uncorrected: 1128 meV/atom
Crystal system: tetragonal
D(E_F): 4.76 states/eV per cell

Geometry as CIF:
```
data_ReTcS2Cl
_space_group_name_H-M_alt 'P 4/m m m'
_space_group_IT_number 123
_space_group_name_Hall '-P 4 2'
_cell_length_a 4.615
_cell_length_b 4.615
_cell_length_c 4.919
_cell_angle_alpha 90.00
_cell_angle_beta 90.00
_cell_angle_gamma 90.00
loop_
_atom_site_label
_atom_site_fract_x
_atom_site_fract_y
_atom_site_fract_z
Re1 0.000 0.000 0.000
Tc1 0.500 0.500 0.500
S1 0.000 0.500 0.500
Cl1 0.500 0.500 0.000
```